Here is a relaxed HgIr2WF crystal from Alexandria. Energies are from GGA+U.

Unit cell a=4.753 b=4.753 c=5.534 alpha=90.00 beta=90.00 gamma=90.00
Space group P4/mmm (No. 123)
Asymmetric unit:
Hg1 0.000 0.000 0.000 x1
Ir1 0.000 0.500 0.500 x2
W1 0.000 0.000 0.500 x1
F1 0.500 0.500 0.000 x1

Output
VASP energy	-3.86	eV per atom
magnetization	0.28	μB per formula unit
ρ	10466	kg/m3